The following is a DFT calculation (PBE) of an optimized crystal structure of NaHPb.

Calculated values
Energy above the lowest structure with this stoichiometry (meV per atom): 0
E (eV/atom): -2.846
Density of states at the Fermi level (states/eV/atom): 0.176
Size of the total moment (Bohr magnetons per cell): 0.00

```
data_NaHPb
_cell_length_a 3.3531
_cell_length_b 3.3669
_cell_length_c 11.1673
_cell_angle_alpha 89.98
_cell_angle_beta 89.92
_cell_angle_gamma 86.81
_space_group_name_H-M_alt 'P 1'
_space_group_IT_number 1
_space_group_name_Hall 'P 1'
loop_
_atom_site_label
_atom_site_type_symbol
_atom_site_fract_x
_atom_site_fract_y
_atom_site_fract_z
Na1 Na 0.2491 0.2492 0.3892
Na2 Na 0.7509 0.7508 0.6108
H1 H 0.2509 0.2506 0.6075
H2 H 0.7491 0.7494 0.3925
Pb1 Pb 0.2501 0.2499 0.8875
Pb2 Pb 0.7499 0.7501 0.1125
```